[1]
{"formula": "BeRu", "functional": "PBEsol", "state": "relaxed", "lattice_angstrom": [[2.652, 0.000, 0.000], [1.326, 2.296, 0.000], [1.326, 0.765, 3.659]], "species": ["Be", "Ru"], "fractional_positions": [[0.000, 0.000, 0.000], [0.500, 0.500, 0.500]], "crystal_system": "trigonal", "formation_enthalpy_0k_ev_per_atom": 0.011, "sg": "R-3m"}



[2]
{"formula": "Sc2AlNi", "functional": "PBEsol", "state": "relaxed", "lattice_angstrom": [[3.109, 0.000, 0.000], [0.000, 4.606, 0.000], [-1.554, -2.303, 4.837]], "species": ["Sc", "Sc", "Ni", "Al"], "fractional_positions": [[0.756, 0.756, 0.512], [0.960, 0.460, 0.921], [0.239, 0.239, 0.478], [0.545, 0.045, 0.089]], "crystal_system": "orthorhombic", "formation_enthalpy_0k_ev_per_atom": -0.404, "sg": "Imm2"}



[3]
{"formula": "LaPb2W", "functional": "PBEsol", "state": "relaxed", "lattice_angstrom": [[3.149, -0.039, 0.000], [-1.051, 2.969, 0.000], [0.000, 0.000, 10.970]], "species": ["W", "La", "Pb", "Pb"], "fractional_positions": [[0.000, 0.000, 0.499], [0.500, 0.500, 0.288], [0.500, 0.500, 0.706], [0.000, 0.000, 0.006]], "crystal_system": "orthorhombic", "formation_enthalpy_0k_ev_per_atom": 0.523, "sg": "Cmm2"}



[4]
{"formula": "CsFe2OsN", "functional": "PBEsol", "state": "relaxed", "lattice_angstrom": [[-2.966, 0.798, -2.179], [-1.766, -3.070, 1.280], [-2.154, 2.905, 3.997]], "species": ["Os", "N", "Fe", "Fe", "Cs"], "fractional_positions": [[0.500, 0.500, 0.500], [0.000, 0.000, 0.000], [0.000, 0.500, 0.000], [0.500, 0.000, 0.000], [0.000, 0.000, 0.500]], "crystal_system": "tetragonal", "raw_formation_energy_mev_per_atom": 1450, "sg": "P4/mmm"}



Computed calculated volume, in the same sequence as the records: 22.3, 69.3, 102.1, 76.4 Å³ per cell.